The following is a DFT calculation (PBE-GGA) of a relaxed KHf2CrSb crystal.

Values from the calculation:
- VASP energy: -6.39 eV per atom
- Raw formation energy: 564.8 meV/atom
- Size of the total moment: 0.00 μB per formula unit
- Symmetry: P4/mmm, No. 123

Cell: 4.951 4.951 5.140 Å, 90.00 90.00 90.00°
Sites, in units of the cell vectors:
K1 0.000 0.000 0.000
Hf1 0.000 0.500 0.500
Hf2 0.500 0.000 0.500
Cr1 0.500 0.500 0.500
Sb1 0.500 0.500 0.000